# 1
A plane-wave DFT calculation with PBE was carried out for crystalline EuErCu2 at its relaxed geometry.

a = 3.535 Å, b = 3.535 Å, c = 7.093 Å
α = 90.00°, β = 90.00°, γ = 90.00°
Space group P4/mmm (No. 123)
Inequivalent atoms, fractional coordinates:
Eu 0.000 0.000 0.000 x1
Er 0.000 0.000 0.500 x1
Cu 0.500 0.500 0.291 x2

Calculated values
Energy of formation from the pure elements: -0.7 eV per formula unit
ΔE to the lowest computed polymorph: 0.000 eV per atom
Size of the total moment: 7.26 μB/f.u.
Calculated density: 8.36 g/cm³

=====

# 2
A plane-wave DFT calculation with PBE was carried out for crystalline K2UTaN4 at its relaxed geometry.

a = 5.779 Å, b = 3.355 Å, c = 6.687 Å
α = 90.00°, β = 106.36°, γ = 90.00°
Space group P2/m (No. 10)
Inequivalent atoms, fractional coordinates:
K 0.000 0.000 0.000 x1
K 0.500 0.500 0.000 x1
U 0.000 0.500 0.500 x1
Ta 0.500 0.000 0.500 x1
N 0.238 0.000 0.667 x2
N 0.285 0.500 0.335 x2

Calculated values
ΔE_f (raw): -889 meV per atom
Size of the total moment: 0.84 μB/f.u.
Calculated density: 7.38 g/cm³

=====

# 3
A plane-wave DFT calculation with PBE was carried out for crystalline AlZnGa at its relaxed geometry.

a = 2.878 Å, b = 2.889 Å, c = 6.299 Å
α = 102.65°, β = 90.49°, γ = 90.31°
Space group P1 (No. 1)
Inequivalent atoms, fractional coordinates:
Al 0.000 0.000 0.000 x1
Zn 0.496 0.351 0.696 x1
Ga 0.502 0.668 0.328 x1

Calculated values
Energy of formation from the pure elements: 0.1 eV per formula unit
Size of the total moment: 0.00 μB/f.u.
Calculated density: 5.27 g/cm³

=====

# 4
A plane-wave DFT calculation with PBE was carried out for crystalline TlOs2RhO8 at its relaxed geometry.

a = 5.2311 Å, b = 5.2311 Å, c = 8.7813 Å
α = 90.00°, β = 90.00°, γ = 120.00°
Space group P-3 (No. 147)
Inequivalent atoms, fractional coordinates:
Tl 0.0000 0.0000 0.0000 x1
Os 0.3333 0.6667 0.7141 x2
Rh 0.0000 0.0000 0.5000 x1
O 0.0265 0.3349 0.6366 x6
O 0.3333 0.6667 0.9159 x2

Calculated values
ΔE_f (raw): -785 meV per atom
Size of the total moment: 0.00 μB/f.u.
Calculated density: 6.51 g/cm³

=====

# 5
A plane-wave DFT calculation with PBE was carried out for crystalline ZnPPtO2 at its relaxed geometry.

a = 3.594 Å, b = 3.594 Å, c = 5.972 Å
α = 90.00°, β = 90.00°, γ = 90.00°
Space group P4/mmm (No. 123)
Inequivalent atoms, fractional coordinates:
Zn 0.000 0.000 0.000 x1
P 0.500 0.500 0.500 x1
Pt 0.000 0.000 0.500 x1
O 0.000 0.500 0.000 x2

Calculated values
ΔE_f (raw): 261 meV per atom
ΔE to the lowest computed polymorph: 0.133 eV per atom
Size of the total moment: 0.00 μB/f.u.
Calculated density: 6.96 g/cm³

=====

# 6
A plane-wave DFT calculation with PBE was carried out for crystalline TbDyTm2 at its relaxed geometry.

a = 3.593 Å, b = 11.158 Å, c = 6.213 Å
α = 90.00°, β = 90.00°, γ = 90.00°
Space group Imm2 (No. 44)
Inequivalent atoms, fractional coordinates:
Tb 0.000 0.000 0.000 x2
Dy 0.000 0.500 0.000 x2
Tm 0.000 0.250 0.667 x4

Calculated values
Energy of formation from the pure elements: 0.0 eV per formula unit
ΔE to the lowest computed polymorph: 0.001 eV per atom
Size of the total moment: 0.00 μB/f.u.
Calculated density: 8.79 g/cm³

=====

Repeat the first record exactly.
A plane-wave DFT calculation with PBE was carried out for crystalline EuErCu2 at its relaxed geometry.

a = 3.535 Å, b = 3.535 Å, c = 7.093 Å
α = 90.00°, β = 90.00°, γ = 90.00°
Space group P4/mmm (No. 123)
Inequivalent atoms, fractional coordinates:
Eu 0.000 0.000 0.000 x1
Er 0.000 0.000 0.500 x1
Cu 0.500 0.500 0.291 x2

Calculated values
Energy of formation from the pure elements: -0.7 eV per formula unit
ΔE to the lowest computed polymorph: 0.000 eV per atom
Size of the total moment: 7.26 μB/f.u.
Calculated density: 8.36 g/cm³